# HoGa2Ni3 (PBE, relaxed)
data_HoGa2Ni3
_chemical_formula_sum 'Ho2 Ga4 Ni6'
_symmetry_space_group_name_H-M 'P 63/m m c'
_symmetry_Int_Tables_number 194
_symmetry_space_group_name_Hall '-P 6c 2c'
_cell_length_a 4.1328
_cell_length_b 4.1328
_cell_length_c 12.1317
_cell_angle_alpha 90.00
_cell_angle_beta 90.00
_cell_angle_gamma 120.00
loop_
_atom_site_label
_atom_site_fract_x
_atom_site_fract_y
_atom_site_fract_z
Ho1 0.0000 0.0000 0.2500
Ga1 0.3333 0.6667 0.0827
Ni1 0.0000 0.0000 0.0000
Ni2 0.3333 0.6667 0.6206
# Calculated density = 8.89 g cm⁻³
# N(E_F) = 0.628 states/eV/atom
# Final energy = -5.1882 eV per atom
# ΔE_f = -3.15 eV per formula unit

# MnNb3Sn (PBE, relaxed)
data_MnNb3Sn
_chemical_formula_sum 'Mn1 Nb3 Sn1'
_symmetry_space_group_name_H-M 'P m -3 m'
_symmetry_Int_Tables_number 221
_symmetry_space_group_name_Hall '-P 4 2 3'
_cell_length_a 4.9985
_cell_length_b 4.9985
_cell_length_c 4.9985
_cell_angle_alpha 90.00
_cell_angle_beta 90.00
_cell_angle_gamma 90.00
loop_
_atom_site_label
_atom_site_fract_x
_atom_site_fract_y
_atom_site_fract_z
Mn1 0.0000 0.0000 0.0000
Nb1 0.0000 0.5000 0.5000
Sn1 0.5000 0.5000 0.5000
# Calculated density = 6.01 g cm⁻³
# N(E_F) = 1.550 states/eV/atom
# Final energy = -6.4531 eV per atom
# Excess energy over the best structure of this formula in the dataset = 8.81 eV per formula unit
# ΔE_f = 11.12 eV per formula unit

# Th2PaSi (PBE, relaxed)
data_Th2PaSi
_chemical_formula_sum 'Th6 Pa3 Si3'
_symmetry_space_group_name_H-M 'R -3 m'
_symmetry_Int_Tables_number 166
_symmetry_space_group_name_Hall '-R 3 2"'
_cell_length_a 3.2971
_cell_length_b 3.2971
_cell_length_c 33.7154
_cell_angle_alpha 90.00
_cell_angle_beta 90.00
_cell_angle_gamma 120.00
loop_
_atom_site_label
_atom_site_fract_x
_atom_site_fract_y
_atom_site_fract_z
Th1 0.0000 0.0000 0.0954
Pa1 0.0000 0.0000 0.0000
Si1 0.0000 0.0000 0.5000
# Calculated density = 11.35 g cm⁻³
# N(E_F) = 1.646 states/eV/atom
# Formation energy without anion corrections = 259 meV/atom
# Final energy = -7.1811 eV per atom
# Excess energy over the best structure of this formula in the dataset = 1.55 eV per formula unit

# TbSc2Al2 (PBE, relaxed)
data_TbSc2Al2
_chemical_formula_sum 'Tb2 Sc4 Al4'
_symmetry_space_group_name_H-M 'P 1 21/m 1'
_symmetry_Int_Tables_number 11
_cell_length_a 5.2927
_cell_length_b 3.5133
_cell_length_c 12.8032
_cell_angle_alpha 90.00
_cell_angle_beta 96.05
_cell_angle_gamma 90.00
loop_
_symmetry_equiv_pos_as_xyz
'x,y,z'
'-x,-y,-z'
'-x,y+1/2,-z'
'x,-y+1/2,z'
loop_
_atom_site_label
_atom_site_fract_x
_atom_site_fract_y
_atom_site_fract_z
Tb1 0.1844 0.2500 0.2413
Sc1 0.2418 0.7500 0.4688
Sc2 0.3408 0.2500 0.8880
Al1 0.1598 0.7500 0.0421
Al2 0.2907 0.2500 0.6589
# Calculated density = 4.25 g cm⁻³
# N(E_F) = 1.137 states/eV/atom
# Final energy = -5.1542 eV per atom
# Excess energy over the best structure of this formula in the dataset = 0.00 eV per formula unit
# ΔE_f = -0.99 eV per formula unit

# KNbBr2 (PBE, relaxed)
data_KNbBr2
_chemical_formula_sum 'K4 Nb4 Br8'
_symmetry_space_group_name_H-M 'I -4 2 d'
_symmetry_Int_Tables_number 122
_symmetry_space_group_name_Hall 'I -4 2bw'
_cell_length_a 6.1338
_cell_length_b 6.1338
_cell_length_c 16.2061
_cell_angle_alpha 90.00
_cell_angle_beta 90.00
_cell_angle_gamma 90.00
loop_
_atom_site_label
_atom_site_fract_x
_atom_site_fract_y
_atom_site_fract_z
K1 0.0000 0.0000 0.0000
Nb1 0.0000 0.0000 0.5000
Br1 0.1711 0.2500 0.6250
# Calculated density = 3.18 g cm⁻³
# N(E_F) = 0.202 states/eV/atom
# Formation energy without anion corrections = -236 meV/atom
# Final energy = -3.8643 eV per atom
# Excess energy over the best structure of this formula in the dataset = 0.26 eV per formula unit

# Nd5Mg2Cd (PBE, relaxed)
data_Nd5Mg2Cd
_chemical_formula_sum 'Nd10 Mg4 Cd2'
_symmetry_space_group_name_H-M 'I 4 m m'
_symmetry_Int_Tables_number 107
_symmetry_space_group_name_Hall 'I 4 -2'
_cell_length_a 7.7930
_cell_length_b 7.7930
_cell_length_c 8.0314
_cell_angle_alpha 90.00
_cell_angle_beta 90.00
_cell_angle_gamma 90.00
loop_
_atom_site_label
_atom_site_fract_x
_atom_site_fract_y
_atom_site_fract_z
Nd1 0.0000 0.0000 0.0000
Nd2 0.2499 0.2499 0.2504
Mg1 0.0000 0.5000 0.0004
Cd1 0.0000 0.0000 0.5009
# Calculated density = 6.01 g cm⁻³
# N(E_F) = 1.212 states/eV/atom
# Final energy = -3.5726 eV per atom
# ΔE_f = -0.64 eV per formula unit

# Te7Ru (PBE, relaxed)
data_Te7Ru
_chemical_formula_sum 'Te28 Ru4'
_symmetry_space_group_name_H-M 'F m -3 m'
_symmetry_Int_Tables_number 225
_symmetry_space_group_name_Hall '-F 4 2 3'
_cell_length_a 9.4072
_cell_length_b 9.4072
_cell_length_c 9.4072
_cell_angle_alpha 90.00
_cell_angle_beta 90.00
_cell_angle_gamma 90.00
loop_
_atom_site_label
_atom_site_fract_x
_atom_site_fract_y
_atom_site_fract_z
Te1 0.0000 0.0000 0.0000
Te2 0.0000 0.2500 0.2500
Ru1 0.0000 0.0000 0.5000
# Calculated density = 7.93 g cm⁻³
# N(E_F) = 1.525 states/eV/atom
# Formation energy without anion corrections = 690 meV/atom
# Final energy = -3.2186 eV per atom

# Li12Ag5Sn2 (PBE, relaxed)
data_Li12Ag5Sn2
_chemical_formula_sum 'Li24 Ag10 Sn4'
_symmetry_space_group_name_H-M 'C 1 2/m 1'
_symmetry_Int_Tables_number 12
_cell_length_a 14.6240
_cell_length_b 6.3257
_cell_length_c 7.2872
_cell_angle_alpha 90.00
_cell_angle_beta 96.93
_cell_angle_gamma 90.00
loop_
_symmetry_equiv_pos_as_xyz
'x,y,z'
'-x,-y,-z'
'-x,y,-z'
'x,-y,z'
'x+1/2,y+1/2,z'
'-x+1/2,-y+1/2,-z'
'-x+1/2,y+1/2,-z'
'x+1/2,-y+1/2,z'
loop_
_atom_site_label
_atom_site_fract_x
_atom_site_fract_y
_atom_site_fract_z
Li1 0.0426 0.0000 0.1835
Li2 0.1125 0.2470 0.8551
Li3 0.1741 0.2802 0.2592
Li4 0.1785 0.5000 0.5972
Ag1 0.0000 0.5000 0.0000
Ag2 0.1670 0.0000 0.5762
Ag3 0.2443 0.0000 0.0083
Sn1 0.0000 0.2622 0.5000
# Calculated density = 4.27 g cm⁻³
# N(E_F) = 0.298 states/eV/atom
# Final energy = -2.5441 eV per atom
# ΔE_f = -3.11 eV per formula unit

# K2CdGa2 (PBE, relaxed)
data_K2CdGa2
_chemical_formula_sum 'K4 Cd2 Ga4'
_symmetry_space_group_name_H-M 'C 1 2/m 1'
_symmetry_Int_Tables_number 12
_cell_length_a 13.5147
_cell_length_b 4.5042
_cell_length_c 5.4572
_cell_angle_alpha 90.00
_cell_angle_beta 90.15
_cell_angle_gamma 90.00
loop_
_symmetry_equiv_pos_as_xyz
'x,y,z'
'-x,-y,-z'
'-x,y,-z'
'x,-y,z'
'x+1/2,y+1/2,z'
'-x+1/2,-y+1/2,-z'
'-x+1/2,y+1/2,-z'
'x+1/2,-y+1/2,z'
loop_
_atom_site_label
_atom_site_fract_x
_atom_site_fract_y
_atom_site_fract_z
K1 0.1311 0.0000 0.4990
Cd1 0.0000 0.5000 0.0000
Ga1 0.2065 0.5000 0.0000
# Calculated density = 3.30 g cm⁻³
# N(E_F) = 0.392 states/eV/atom
# Final energy = -1.8809 eV per atom
# Excess energy over the best structure of this formula in the dataset = 0.00 eV per formula unit
# ΔE_f = -0.24 eV per formula unit

# In2Sb2Se (PBE, relaxed)
data_In2Sb2Se
_chemical_formula_sum 'In4 Sb4 Se2'
_symmetry_space_group_name_H-M 'I 4/m m m'
_symmetry_Int_Tables_number 139
_symmetry_space_group_name_Hall '-I 4 2'
_cell_length_a 4.1750
_cell_length_b 4.1750
_cell_length_c 17.1090
_cell_angle_alpha 90.00
_cell_angle_beta 90.00
_cell_angle_gamma 90.00
loop_
_atom_site_label
_atom_site_fract_x
_atom_site_fract_y
_atom_site_fract_z
In1 0.0000 0.0000 0.0892
Sb1 0.0000 0.5000 0.2500
Se1 0.0000 0.0000 0.5000
# Calculated density = 6.15 g cm⁻³
# N(E_F) = 0.897 states/eV/atom
# Formation energy without anion corrections = 62 meV/atom
# Final energy = -3.3797 eV per atom
# Excess energy over the best structure of this formula in the dataset = 0.04 eV per formula unit

# NpPb3 (PBE, relaxed)
data_NpPb3
_chemical_formula_sum 'Np2 Pb6'
_symmetry_space_group_name_H-M 'I m m 2'
_symmetry_Int_Tables_number 44
_cell_length_a 3.3903
_cell_length_b 11.3174
_cell_length_c 5.9881
_cell_angle_alpha 90.00
_cell_angle_beta 90.00
_cell_angle_gamma 90.00
loop_
_symmetry_equiv_pos_as_xyz
'x,y,z'
'-x,-y,z'
'-x,y,z'
'x,-y,z'
'x+1/2,y+1/2,z+1/2'
'-x+1/2,-y+1/2,z+1/2'
'-x+1/2,y+1/2,z+1/2'
'x+1/2,-y+1/2,z+1/2'
loop_
_atom_site_label
_atom_site_fract_x
_atom_site_fract_y
_atom_site_fract_z
Np1 0.0000 0.0000 0.0000
Pb1 0.0000 0.2521 0.3127
Pb2 0.0000 0.5000 0.9944
# Calculated density = 12.41 g cm⁻³
# N(E_F) = 2.203 states/eV/atom
# Final energy = -5.8604 eV per atom
# ΔE_f = 0.62 eV per formula unit

# LiTe4Pb (PBE, relaxed)
data_LiTe4Pb
_chemical_formula_sum 'Li4 Te16 Pb4'
_symmetry_space_group_name_H-M 'F -4 3 m'
_symmetry_Int_Tables_number 216
_symmetry_space_group_name_Hall 'F -4 2 3'
_cell_length_a 9.1287
_cell_length_b 9.1287
_cell_length_c 9.1287
_cell_angle_alpha 90.00
_cell_angle_beta 90.00
_cell_angle_gamma 90.00
loop_
_atom_site_label
_atom_site_fract_x
_atom_site_fract_y
_atom_site_fract_z
Li1 0.0000 0.0000 0.0000
Te1 0.1251 0.1251 0.3749
Pb1 0.2500 0.2500 0.7500
# Calculated density = 6.33 g cm⁻³
# N(E_F) = 0.827 states/eV/atom
# Formation energy without anion corrections = 148 meV/atom
# Final energy = -2.8831 eV per atom